Computed, not measured: a geometry-optimized BaWAu structure at the PBE-GGA level of DFT.

Values from the calculation:
**Crystal system**: orthorhombic
**Distance to the lowest polymorph of the same formula**: 0.000 eV/atom
**Formation enthalpy at 0 K**: 2.27 eV/f.u.
**DOS at the Fermi energy**: 1.2920 states/eV per atom
**Total magnetization**: 0.0 μB per cell
**Mass density**: 11.21 g/cm3

Unit cell a=6.5766 b=6.5766 c=6.5766 alpha=153.01 beta=143.40 gamma=46.06
Fractional positions:
Ba (0.3357, 0.3357, 0.0000)
Au (0.0452, 0.0452, 0.0000)
W (0.6191, 0.6191, 0.0000)


Computed, not measured: a geometry-optimized Zn2CrCo structure at the PBE-GGA level of DFT.

Values from the calculation:
**Crystal system**: orthorhombic
**Distance to the lowest polymorph of the same formula**: 0.100 eV/atom
**Formation enthalpy at 0 K**: 0.55 eV/f.u.
**DOS at the Fermi energy**: 0.4834 states/eV per atom
**Total magnetization**: 0.0 μB per cell
**Mass density**: 8.08 g/cm3

Unit cell a=4.1260 b=2.5671 c=4.6906 alpha=90.07 beta=90.00 gamma=90.00
Fractional positions:
Zn (0.0000, 0.1263, 0.9769)
Zn (0.5000, 0.1237, 0.2714)
Cr (0.5000, 0.6247, 0.7496)
Co (0.0000, 0.6254, 0.5021)


Computed, not measured: a geometry-optimized Cs2NaPdCl6 structure at the PBE-GGA level of DFT.

Values from the calculation:
**Crystal system**: trigonal
**ΔE_f (raw)**: -13.38 eV per formula unit
**DOS at the Fermi energy**: 0.4688 states/eV per atom
**Total magnetization**: 2.1 μB per cell
**Mass density**: 3.32 g/cm3

Unit cell a=7.4334 b=7.4334 c=13.3982 alpha=73.89 beta=73.89 gamma=60.00
Fractional positions:
Cl (0.2732, 0.8068, 0.1131)
Cl (0.3820, 0.8460, 0.3901)
Cl (0.6180, 0.1540, 0.6099)
Cl (0.8068, 0.2732, 0.1131)
Cl (0.1932, 0.1932, 0.8869)
Cl (0.3820, 0.3820, 0.3901)
Cl (0.6180, 0.6180, 0.6099)
Cl (0.1540, 0.6180, 0.6099)
Cl (0.8460, 0.3820, 0.3901)
Cl (0.8068, 0.8068, 0.1131)
Cl (0.1932, 0.7268, 0.8869)
Cl (0.7268, 0.1932, 0.8869)
Cs (0.2956, 0.2956, 0.1131)
Cs (0.8754, 0.8754, 0.3738)
Cs (0.7044, 0.7044, 0.8869)
Cs (0.1246, 0.1246, 0.6262)
Na (0.5880, 0.5880, 0.2361)
Na (0.4120, 0.4120, 0.7639)
Pd (0.5000, 0.5000, 0.5000)
Pd (0.0000, 0.0000, 0.0000)


Computed, not measured: a geometry-optimized BaZr2In structure at the PBE-GGA level of DFT.

Values from the calculation:
**Crystal system**: trigonal
**Formation enthalpy at 0 K**: 1.28 eV/f.u.
**DOS at the Fermi energy**: 0.6645 states/eV per atom
**Total magnetization**: 0.0 μB per cell
**Mass density**: 6.64 g/cm3

Unit cell a=11.2760 b=11.2760 c=11.2760 alpha=17.15 beta=17.15 gamma=17.15
Fractional positions:
Ba (0.2500, 0.2500, 0.2500)
In (0.7500, 0.7500, 0.7500)
Zr (0.0083, 0.0083, 0.0083)
Zr (0.4917, 0.4917, 0.4917)


Computed, not measured: a geometry-optimized BeAlInB2 structure at the PBE-GGA level of DFT.

Values from the calculation:
**Crystal system**: tetragonal
**Formation enthalpy at 0 K**: 5.90 eV/f.u.
**DOS at the Fermi energy**: 0.4562 states/eV per atom
**Total magnetization**: 0.0 μB per cell
**Mass density**: 4.01 g/cm3

Unit cell a=3.8407 b=4.8379 c=3.8407 alpha=90.00 beta=90.00 gamma=90.00
Fractional positions:
Be (0.0000, 0.0000, 0.0000)
In (0.5000, 0.5000, 0.5000)
B (0.0000, 0.0000, 0.5000)
B (0.5000, 0.0000, 0.0000)
Al (0.0000, 0.5000, 0.0000)


Computed, not measured: a geometry-optimized Nd2Dy4Er structure at the PBE-GGA level of DFT.

Values from the calculation:
**Crystal system**: monoclinic
**Distance to the lowest polymorph of the same formula**: 0.000 eV/atom
**Formation enthalpy at 0 K**: 0.75 eV/f.u.
**DOS at the Fermi energy**: 1.2886 states/eV per atom
**Total magnetization**: 0.0 μB per cell
**Mass density**: 7.97 g/cm3

Unit cell a=3.7194 b=13.7975 c=18.3220 alpha=101.58 beta=90.00 gamma=90.00
Fractional positions:
Dy (0.5002, 0.9526, 0.1783)
Dy (0.0002, 0.5474, 0.8217)
Dy (0.9998, 0.4526, 0.1783)
Dy (0.0002, 0.8575, 0.3003)
Dy (0.4998, 0.0474, 0.8217)
Dy (0.5000, 0.8004, 0.4437)
Dy (0.9998, 0.1425, 0.6997)
Dy (0.5002, 0.6425, 0.6997)
Dy (0.0000, 0.6996, 0.5563)
Dy (0.4998, 0.2874, 0.0726)
Dy (0.5002, 0.7126, 0.9274)
Dy (0.9998, 0.2126, 0.9274)
Dy (0.0000, 0.3004, 0.4437)
Dy (0.0002, 0.7874, 0.0726)
Dy (0.5000, 0.1996, 0.5563)
Dy (0.4998, 0.3575, 0.3003)
Nd (0.0001, 0.4068, 0.6445)
Nd (0.5001, 0.6574, 0.1809)
Nd (0.5001, 0.0932, 0.3555)
Nd (0.0001, 0.8426, 0.8191)
Nd (0.9999, 0.5932, 0.3555)
Nd (0.9999, 0.1574, 0.1809)
Nd (0.4999, 0.9068, 0.6445)
Nd (0.4999, 0.3426, 0.8191)
Er (0.5000, 0.5000, 0.5000)
Er (0.5000, 0.0000, 0.0000)
Er (0.0000, 0.5000, 0.0000)
Er (0.0000, 0.0000, 0.5000)


Computed, not measured: a geometry-optimized Ac3TbNd8 structure at the PBE-GGA level of DFT.

Values from the calculation:
**Crystal system**: orthorhombic
**Formation enthalpy at 0 K**: 2.97 eV/f.u.
**DOS at the Fermi energy**: 1.3812 states/eV per atom
**Total magnetization**: 0.0 μB per cell
**Mass density**: 7.14 g/cm3

Unit cell a=9.2745 b=9.2744 c=9.2745 alpha=78.20 beta=137.40 gamma=117.93
Fractional positions:
Ac (0.5000, 0.3687, 0.8687)
Ac (0.0000, 0.5000, 0.5000)
Ac (0.5000, 0.6313, 0.1313)
Nd (0.7872, 0.2586, 0.7324)
Nd (0.5262, 0.0548, 0.2676)
Nd (0.0093, 0.9427, 0.6544)
Nd (0.2883, 0.3550, 0.3456)
Nd (0.4738, 0.7414, 0.5286)
Nd (0.2128, 0.9452, 0.4714)
Nd (0.9906, 0.6450, 0.9333)
Nd (0.7117, 0.0573, 0.0667)
Tb (0.0000, 0.0000, 0.0000)


Computed, not measured: a geometry-optimized SmMgZn4 structure at the PBE-GGA level of DFT.

Values from the calculation:
**Crystal system**: hexagonal
**Formation enthalpy at 0 K**: -1.79 eV/f.u.
**DOS at the Fermi energy**: 0.3400 states/eV per atom
**Total magnetization**: 0.0 μB per cell
**Mass density**: 6.26 g/cm3

Unit cell a=4.3584 b=4.3584 c=7.0297 alpha=90.00 beta=90.00 gamma=120.00
Fractional positions:
Mg (0.0000, 0.0000, 0.0000)
Zn (0.6667, 0.3333, 0.2165)
Zn (0.3333, 0.6667, 0.2165)
Zn (0.6667, 0.3333, 0.7835)
Zn (0.3333, 0.6667, 0.7835)
Sm (0.0000, 0.0000, 0.5000)


Computed, not measured: a geometry-optimized NbAgP2S structure at the PBE-GGA level of DFT.

Values from the calculation:
**Crystal system**: tetragonal
**Distance to the lowest polymorph of the same formula**: 0.000 eV/atom
**ΔE_f (raw)**: 1.60 eV per formula unit
**DOS at the Fermi energy**: 0.7715 states/eV per atom
**Total magnetization**: 0.0 μB per cell
**Mass density**: 4.34 g/cm3

Unit cell a=4.8749 b=4.8749 c=4.7457 alpha=90.00 beta=90.00 gamma=90.00
Fractional positions:
P (0.0000, 0.5000, 0.0000)
P (0.5000, 0.0000, 0.0000)
Nb (0.0000, 0.0000, 0.0000)
S (0.0000, 0.0000, 0.5000)
Ag (0.5000, 0.5000, 0.5000)


Computed, not measured: a geometry-optimized Mg2NiPN structure at the PBE-GGA level of DFT.

Values from the calculation:
**Crystal system**: tetragonal
**ΔE_f (raw)**: 3.12 eV per formula unit
**DOS at the Fermi energy**: 0.4791 states/eV per atom
**Total magnetization**: 1.8 μB per cell
**Mass density**: 2.76 g/cm3

Unit cell a=4.8040 b=3.9680 c=4.8040 alpha=90.00 beta=90.00 gamma=90.00
Fractional positions:
Mg (0.0000, 0.0000, 0.5000)
Mg (0.5000, 0.0000, 0.0000)
N (0.5000, 0.5000, 0.5000)
P (0.0000, 0.5000, 0.0000)
Ni (0.0000, 0.0000, 0.0000)


Computed, not measured: a geometry-optimized Sc2AsPb structure at the PBE-GGA level of DFT.

Values from the calculation:
**Crystal system**: trigonal
**Distance to the lowest polymorph of the same formula**: 0.034 eV/atom
**Formation enthalpy at 0 K**: -3.37 eV/f.u.
**DOS at the Fermi energy**: 0.5560 states/eV per atom
**Total magnetization**: 0.0 μB per cell
**Mass density**: 6.52 g/cm3

Unit cell a=3.7514 b=3.7514 c=8.0669 alpha=76.55 beta=76.55 gamma=60.00
Fractional positions:
As (0.6676, 0.6676, 0.9973)
Sc (0.0657, 0.0657, 0.8029)
Sc (0.2673, 0.2673, 0.1982)
Pb (0.4995, 0.4995, 0.5016)


Computed, not measured: a geometry-optimized KZrTl2 structure at the PBE-GGA level of DFT.

Values from the calculation:
**Crystal system**: cubic
**Distance to the lowest polymorph of the same formula**: 0.571 eV/atom
**Formation enthalpy at 0 K**: 2.43 eV/f.u.
**DOS at the Fermi energy**: 1.3076 states/eV per atom
**Total magnetization**: 1.8 μB per cell
**Mass density**: 7.70 g/cm3

Unit cell a=5.4772 b=5.4772 c=5.4772 alpha=60.00 beta=60.00 gamma=60.00
Fractional positions:
Tl (0.0000, 0.0000, 0.0000)
Tl (0.2500, 0.2500, 0.2500)
K (0.5000, 0.5000, 0.5000)
Zr (0.7500, 0.7500, 0.7500)


Which of these has the lowest mass density? Mg2NiPN